(1)
Ac4Tl2Ga (PBE-GGA, optimized geometry); M_tot = 0.00 μB per formula unit; formation energy from the elements = -0.2234 eV/atom; energy relative to the lowest polymorph listed for this composition = 0.0222 eV/atom; N(E_F) = 1.044 states/eV per atom
1.0
4.054 0.000 0.000
0.000 7.331 -0.270
-2.027 -3.846 9.125
Ac Tl Ga
4 2 1
Direct
0.909 0.263 0.818
0.091 0.737 0.182
0.629 0.282 0.258
0.371 0.718 0.742
0.743 0.813 0.487
0.257 0.187 0.513
0.000 0.000 0.000

=====

(2)
Ac3Tl2Ga (PBE-GGA, optimized geometry); M_tot = 0.00 μB per formula unit; formation energy from the elements = -0.3639 eV/atom; energy relative to the lowest polymorph listed for this composition = 0.0000 eV/atom; N(E_F) = 0.809 states/eV per atom
1.0
-1.364 4.561 0.396
-10.695 -2.557 -7.397
-6.955 -3.044 11.108
Ac Tl Ga
12 8 4
Direct
0.250 0.382 0.064
0.750 0.618 0.936
0.750 0.882 0.436
0.250 0.118 0.564
0.250 0.706 0.214
0.750 0.294 0.786
0.750 0.206 0.286
0.250 0.794 0.714
0.250 0.450 0.384
0.750 0.550 0.616
0.750 0.950 0.116
0.250 0.050 0.884
0.250 0.693 0.484
0.750 0.307 0.516
0.750 0.193 0.016
0.250 0.807 0.984
0.250 0.003 0.303
0.750 0.997 0.697
0.750 0.503 0.197
0.250 0.497 0.803
0.250 0.146 0.137
0.750 0.854 0.863
0.750 0.646 0.363
0.250 0.354 0.637

=====

(3)
Ac6Tl5Ga (PBE-GGA, optimized geometry); M_tot = 0.00 μB per formula unit; formation energy from the elements = -0.2475 eV/atom; energy relative to the lowest polymorph listed for this composition = 0.1142 eV/atom; N(E_F) = 0.904 states/eV per atom
1.0
-7.015 6.974 -2.017
-2.650 -2.064 -6.374
-5.688 -4.565 -0.229
Ac Tl Ga
6 5 1
Direct
0.772 0.061 0.333
0.228 0.605 0.333
0.272 0.217 0.000
0.728 0.783 0.000
0.772 0.395 0.667
0.228 0.939 0.667
0.500 0.200 0.599
0.000 0.371 0.259
0.500 0.500 0.000
0.000 0.629 0.741
0.500 0.800 0.401
0.000 0.000 0.000